(1)
# LaHoPd (PBE, optimized geometry)
data_LaHoPd
_chemical_formula_sum 'La4 Ho4 Pd4'
_space_group_name_H-M_alt 'P 1'
_space_group_IT_number 1
_cell_length_a 6.4855
_cell_length_b 8.7361
_cell_length_c 7.3174
_cell_angle_alpha 125.49
_cell_angle_beta 90.00
_cell_angle_gamma 90.00
loop_
_space_group_symop_operation_xyz
'x,y,z'
loop_
_atom_site_label
_atom_site_fract_x
_atom_site_fract_y
_atom_site_fract_z
_atom_site_occupancy
Ho1 0.8404 0.2018 0.1280 1
Ho2 0.3404 0.2982 0.3720 1
Ho3 0.6596 0.7018 0.6280 1
Ho4 0.1596 0.7982 0.8720 1
La1 0.8671 0.3633 0.7269 1
La2 0.1329 0.6367 0.2731 1
La3 0.6329 0.8633 0.2269 1
La4 0.3671 0.1367 0.7731 1
Pd1 0.5888 0.4792 0.1654 1
Pd2 0.9112 0.9792 0.6654 1
Pd3 0.0888 0.0208 0.3346 1
Pd4 0.4112 0.5208 0.8346 1
# Energy = -5.474 eV/atom
# ΔH_f (0 K) = -0.57 eV per atom
# Space-group type = P2_1/c, No. 14
# Magnetization = 0.00 μB per formula unit



(2)
# La2Ho3Pd2 (PBE, optimized geometry)
data_La2Ho3Pd2
_chemical_formula_sum 'La2 Ho3 Pd2'
_space_group_name_H-M_alt 'P 1'
_space_group_IT_number 1
_cell_length_a 3.7482
_cell_length_b 6.6265
_cell_length_c 9.2479
_cell_angle_alpha 116.49
_cell_angle_beta 90.00
_cell_angle_gamma 106.43
loop_
_space_group_symop_operation_xyz
'x,y,z'
loop_
_atom_site_label
_atom_site_fract_x
_atom_site_fract_y
_atom_site_fract_z
_atom_site_occupancy
Ho1 0.6161 0.2322 0.4400 1
Ho2 0.5000 0.0000 0.0000 1
Ho3 0.3839 0.7678 0.5600 1
La1 0.8430 0.6859 0.1843 1
La2 0.1570 0.3141 0.8157 1
Pd1 0.8361 0.6722 0.7587 1
Pd2 0.1639 0.3278 0.2413 1
# Energy = -5.378 eV/atom
# ΔH_f (0 K) = -0.52 eV per atom
# Space-group type = C2/m, No. 12
# Magnetization = 0.00 μB per formula unit



(3)
# LaHo2Pd (PBE, optimized geometry)
data_LaHo2Pd
_chemical_formula_sum 'La1 Ho2 Pd1'
_space_group_name_H-M_alt 'P 1'
_space_group_IT_number 1
_cell_length_a 3.5552
_cell_length_b 3.5552
_cell_length_c 8.8178
_cell_angle_alpha 90.00
_cell_angle_beta 90.00
_cell_angle_gamma 90.00
loop_
_space_group_symop_operation_xyz
'x,y,z'
loop_
_atom_site_label
_atom_site_fract_x
_atom_site_fract_y
_atom_site_fract_z
_atom_site_occupancy
La1 0.5000 0.5000 0.5000 1
Ho1 0.0000 0.0000 0.1879 1
Ho2 0.0000 0.0000 0.8121 1
Pd1 0.5000 0.5000 0.0000 1
# Energy = -5.248 eV/atom
# ΔH_f (0 K) = -0.43 eV per atom
# Space-group type = P4/mmm, No. 123
# Magnetization = 0.00 μB per formula unit



(4)
# LaHoPdPt (PBE, optimized geometry)
data_LaHoPdPt
_chemical_formula_sum 'La1 Ho1 Pd1 Pt1'
_space_group_name_H-M_alt 'P 1'
_space_group_IT_number 1
_cell_length_a 5.0673
_cell_length_b 5.0673
_cell_length_c 5.0673
_cell_angle_alpha 60.00
_cell_angle_beta 60.00
_cell_angle_gamma 60.00
loop_
_space_group_symop_operation_xyz
'x,y,z'
loop_
_atom_site_label
_atom_site_fract_x
_atom_site_fract_y
_atom_site_fract_z
_atom_site_occupancy
La1 0.0000 0.0000 0.0000 1
Pd1 0.2500 0.2500 0.2500 1
Ho1 0.5000 0.5000 0.5000 1
Pt1 0.7500 0.7500 0.7500 1
# Energy = -6.155 eV/atom
# ΔH_f (0 K) = -0.97 eV per atom
# Space-group type = F-43m, No. 216
# Magnetization = 0.00 μB per formula unit



(5)
# LaHoPdPt (PBE, optimized geometry)
data_LaHoPdPt
_chemical_formula_sum 'La1 Ho1 Pd1 Pt1'
_space_group_name_H-M_alt 'P 1'
_space_group_IT_number 1
_cell_length_a 3.8407
_cell_length_b 4.5751
_cell_length_c 5.7408
_cell_angle_alpha 90.00
_cell_angle_beta 109.54
_cell_angle_gamma 90.00
loop_
_space_group_symop_operation_xyz
'x,y,z'
loop_
_atom_site_label
_atom_site_fract_x
_atom_site_fract_y
_atom_site_fract_z
_atom_site_occupancy
Ho1 0.8657 0.5000 0.7314 1
Pd1 0.5864 0.5000 0.1727 1
La1 0.1382 0.0000 0.2763 1
Pt1 0.4098 0.0000 0.8195 1
# Energy = -6.241 eV/atom
# ΔH_f (0 K) = -1.06 eV per atom
# Space-group type = Amm2, No. 38
# Magnetization = 0.00 μB per formula unit



(6)
# LaHoPdRh (PBE, optimized geometry)
data_LaHoPdRh
_chemical_formula_sum 'La1 Ho1 Pd1 Rh1'
_space_group_name_H-M_alt 'P 1'
_space_group_IT_number 1
_cell_length_a 3.7984
_cell_length_b 4.5590
_cell_length_c 5.6475
_cell_angle_alpha 90.00
_cell_angle_beta 109.65
_cell_angle_gamma 90.00
loop_
_space_group_symop_operation_xyz
'x,y,z'
loop_
_atom_site_label
_atom_site_fract_x
_atom_site_fract_y
_atom_site_fract_z
_atom_site_occupancy
Pd1 0.5826 0.5000 0.1651 1
La1 0.1461 0.0000 0.2923 1
Ho1 0.8666 0.5000 0.7332 1
Rh1 0.4047 0.0000 0.8094 1
# Energy = -6.350 eV/atom
# ΔH_f (0 K) = -0.84 eV per atom
# Space-group type = Amm2, No. 38
# Magnetization = 0.00 μB per formula unit



(7)
# LaHoPdRh (PBE, optimized geometry)
data_LaHoPdRh
_chemical_formula_sum 'La1 Ho1 Pd1 Rh1'
_space_group_name_H-M_alt 'P 1'
_space_group_IT_number 1
_cell_length_a 5.0174
_cell_length_b 5.0174
_cell_length_c 5.0174
_cell_angle_alpha 60.00
_cell_angle_beta 60.00
_cell_angle_gamma 60.00
loop_
_space_group_symop_operation_xyz
'x,y,z'
loop_
_atom_site_label
_atom_site_fract_x
_atom_site_fract_y
_atom_site_fract_z
_atom_site_occupancy
Pd1 0.0000 0.0000 0.0000 1
Ho1 0.2500 0.2500 0.2500 1
Rh1 0.5000 0.5000 0.5000 1
La1 0.7500 0.7500 0.7500 1
# Energy = -6.289 eV/atom
# ΔH_f (0 K) = -0.78 eV per atom
# Space-group type = F-43m, No. 216
# Magnetization = 0.00 μB per formula unit



(8)
# LaHoPdRu (PBE, optimized geometry)
data_LaHoPdRu
_chemical_formula_sum 'La1 Ho1 Pd1 Ru1'
_space_group_name_H-M_alt 'P 1'
_space_group_IT_number 1
_cell_length_a 4.9905
_cell_length_b 4.9905
_cell_length_c 4.9905
_cell_angle_alpha 60.00
_cell_angle_beta 60.00
_cell_angle_gamma 60.00
loop_
_space_group_symop_operation_xyz
'x,y,z'
loop_
_atom_site_label
_atom_site_fract_x
_atom_site_fract_y
_atom_site_fract_z
_atom_site_occupancy
Ru1 0.7500 0.7500 0.7500 1
Ho1 0.0000 0.0000 0.0000 1
La1 0.5000 0.5000 0.5000 1
Pd1 0.2500 0.2500 0.2500 1
# Energy = -6.516 eV/atom
# ΔH_f (0 K) = -0.52 eV per atom
# Space-group type = F-43m, No. 216
# Magnetization = 0.00 μB per formula unit



(9)
# LaHoSi2Pd5 (PBE, optimized geometry)
data_LaHoSi2Pd5
_chemical_formula_sum 'La1 Ho1 Si2 Pd5'
_space_group_name_H-M_alt 'P 1'
_space_group_IT_number 1
_cell_length_a 4.2375
_cell_length_b 4.2375
_cell_length_c 9.0366
_cell_angle_alpha 90.00
_cell_angle_beta 90.00
_cell_angle_gamma 90.00
loop_
_space_group_symop_operation_xyz
'x,y,z'
loop_
_atom_site_label
_atom_site_fract_x
_atom_site_fract_y
_atom_site_fract_z
_atom_site_occupancy
Pd1 0.5000 0.0000 0.2609 1
Pd2 0.0000 0.5000 0.2609 1
Pd3 0.5000 0.5000 0.5000 1
Pd4 0.5000 0.0000 0.7391 1
Pd5 0.0000 0.5000 0.7391 1
Si1 0.5000 0.5000 0.1295 1
Si2 0.5000 0.5000 0.8705 1
La1 0.0000 0.0000 0.5000 1
Ho1 0.0000 0.0000 0.0000 1
# Energy = -6.034 eV/atom
# Space-group type = P4/mmm, No. 123
# Magnetization = 0.00 μB per formula unit



(10)
# LaHoSiPd (PBE, optimized geometry)
data_LaHoSiPd
_chemical_formula_sum 'La1 Ho1 Si1 Pd1'
_space_group_name_H-M_alt 'P 1'
_space_group_IT_number 1
_cell_length_a 5.1064
_cell_length_b 5.1064
_cell_length_c 5.1064
_cell_angle_alpha 60.00
_cell_angle_beta 60.00
_cell_angle_gamma 60.00
loop_
_space_group_symop_operation_xyz
'x,y,z'
loop_
_atom_site_label
_atom_site_fract_x
_atom_site_fract_y
_atom_site_fract_z
_atom_site_occupancy
Ho1 0.0000 0.0000 0.0000 1
La1 0.5000 0.5000 0.5000 1
Si1 0.2500 0.2500 0.2500 1
Pd1 0.7500 0.7500 0.7500 1
# Energy = -5.699 eV/atom
# Space-group type = F-43m, No. 216
# Magnetization = 0.00 μB per formula unit



(11)
# La2Pm7Ho2 (PBE, optimized geometry)
data_La2Pm7Ho2
_chemical_formula_sum 'La2 Pm7 Ho2'
_space_group_name_H-M_alt 'P 1'
_space_group_IT_number 1
_cell_length_a 8.8356
_cell_length_b 6.1126
_cell_length_c 8.8356
_cell_angle_alpha 63.77
_cell_angle_beta 97.87
_cell_angle_gamma 116.23
loop_
_space_group_symop_operation_xyz
'x,y,z'
loop_
_atom_site_label
_atom_site_fract_x
_atom_site_fract_y
_atom_site_fract_z
_atom_site_occupancy
Ho1 0.7790 0.5000 0.7790 1
Ho2 0.2210 0.5000 0.2210 1
Pm1 0.9522 0.1844 0.5905 1
Pm2 0.0000 0.0000 0.0000 1
Pm3 0.5905 0.8156 0.9522 1
Pm4 0.0478 0.8156 0.4095 1
Pm5 0.5774 0.3550 0.4226 1
Pm6 0.4095 0.1844 0.0478 1
Pm7 0.4226 0.6450 0.5774 1
La1 0.7727 0.1500 0.2273 1
La2 0.2273 0.8500 0.7727 1
# Energy = -4.609 eV/atom
# ΔH_f (0 K) = 0.14 eV per atom
# Space-group type = C2/m, No. 12
# Magnetization = 0.00 μB per formula unit



(12)
# LaPm2Ho4 (PBE, optimized geometry)
data_LaPm2Ho4
_chemical_formula_sum 'La2 Pm4 Ho8'
_space_group_name_H-M_alt 'P 1'
_space_group_IT_number 1
_cell_length_a 8.1555
_cell_length_b 7.7846
_cell_length_c 7.7817
_cell_angle_alpha 90.00
_cell_angle_beta 90.01
_cell_angle_gamma 90.03
loop_
_space_group_symop_operation_xyz
'x,y,z'
loop_
_atom_site_label
_atom_site_fract_x
_atom_site_fract_y
_atom_site_fract_z
_atom_site_occupancy
Pm1 0.0000 0.0000 0.5000 1
Pm2 0.0000 0.5000 0.5000 1
Pm3 0.5000 0.0000 0.5000 1
Pm4 0.0000 0.0000 0.0000 1
Ho1 0.7213 0.7523 0.7478 1
Ho2 0.7213 0.7524 0.2522 1
Ho3 0.2787 0.7526 0.7480 1
Ho4 0.2787 0.2477 0.2522 1
Ho5 0.2787 0.2476 0.7478 1
Ho6 0.7213 0.2474 0.7480 1
Ho7 0.7213 0.2474 0.2520 1
Ho8 0.2787 0.7526 0.2520 1
La1 0.5000 0.5000 0.0000 1
La2 0.0000 0.5000 0.0000 1
# Energy = -4.352 eV/atom
# ΔH_f (0 K) = 0.33 eV per atom
# Space-group type = P4/mmm, No. 123
# Magnetization = 0.71 μB per formula unit



> Among the records above, which one has the highest energy?

LaPm2Ho4



> Look up the magnetization of the twelfth one.

0.71 μB per formula unit



> What is the magnetization in the eleventh record?

0.00 μB per formula unit